The following is a DFT calculation (PBE) of Pr6Ho12Tl after structural relaxation.

Geometry as POSCAR:
```
Pr6Ho12Tl
1.0
5.9884 3.4574 4.9871
-5.9884 3.4574 4.9871
0.0000 -6.9148 4.9871
Pr Ho Tl
6 12 1
Direct
0.1940 0.5919 0.7614
0.2386 0.8060 0.4081
0.4081 0.2386 0.8060
0.5919 0.7614 0.1940
0.7614 0.1940 0.5919
0.8060 0.4081 0.2386
0.0383 0.2766 0.9363
0.0637 0.9617 0.7234
0.1416 0.3119 0.4861
0.2766 0.9363 0.0383
0.3119 0.4861 0.1416
0.4861 0.1416 0.3119
0.5139 0.8584 0.6881
0.6881 0.5139 0.8584
0.7234 0.0637 0.9617
0.8584 0.6881 0.5139
0.9363 0.0383 0.2766
0.9617 0.7234 0.0637
0.5000 0.5000 0.5000
```

Properties
* magnetization: 0.00 μB/atom
* DFT total energy: -4.44 eV/atom
* space group: R-3, No. 148
* energy relative to the elements: 83 meV per atom